Entry from Alexandria: crystalline TbNdTlIr at its relaxed geometry (PBE-GGA).

```
TbNdTlIr
1.0
0.000 3.672 3.672
3.672 0.000 3.672
3.672 3.672 0.000
Tb Nd Tl Ir
1 1 1 1
Direct
0.000 0.000 0.000
0.500 0.500 0.500
0.250 0.250 0.250
0.750 0.750 0.750
```

- Crystal system: cubic
- Calculated density: 11.73 g/cm3
- Calculated formation energy: -1.613 eV per formula unit
- DOS at the Fermi energy: 3.3 states/eV/f.u.